Computed, not measured: a relaxed BaErV2O8 crystal at the PBE with a Hubbard U level of DFT.

Cell and atoms, written as POSCAR:
```
BaErV2O8
1.0
5.768 0.000 0.000
-2.884 4.995 0.000
0.000 0.000 7.624
Ba Er V O
1 1 2 8
direct
0.000 0.000 0.000
0.000 0.000 0.500
0.667 0.333 0.235
0.333 0.667 0.765
0.333 0.667 0.988
0.334 0.168 0.307
0.832 0.165 0.307
0.667 0.333 0.012
0.168 0.835 0.693
0.666 0.832 0.693
0.165 0.334 0.693
0.835 0.666 0.307
```

calculated total energy = -7.465 eV per atom
crystal system = trigonal
total magnetic moment = 1.1 Bohr magnetons per cell